Arrangement one

The following is a DFT calculation (PBE) of a relaxed structure of Sm4ScHg.

Values from the calculation:
- Space group: C2/c
- Volume: 184.8 Å³/f.u.
- Total moment: 0.00 μB/f.u.

a = 8.321 Å, b = 8.321 Å, c = 6.288 Å
α = 100.01°, β = 100.01°, γ = 115.99°
Sites, in units of the cell vectors:
Sm 0.091 0.708 0.948
Sm 0.189 0.395 0.632
Sm 0.292 0.909 0.552
Sm 0.395 0.189 0.132
Sm 0.605 0.811 0.868
Sm 0.708 0.091 0.448
Sm 0.811 0.605 0.368
Sm 0.909 0.292 0.052
Sc 0.398 0.602 0.250
Sc 0.602 0.398 0.750
Hg 0.001 0.999 0.250
Hg 0.999 0.001 0.750

Arrangement two

The following is a DFT calculation (PBE) of a relaxed structure of Sm4ScHg.

Values from the calculation:
- Space group: P4/mmm
- Volume: 180.1 Å³/f.u.
- Total moment: 0.00 μB/f.u.

a = 3.621 Å, b = 3.621 Å, c = 13.739 Å
α = 90.00°, β = 90.00°, γ = 90.00°
Sites, in units of the cell vectors:
Sm 0.000 0.000 0.149
Sm 0.000 0.000 0.851
Sm 0.500 0.500 0.334
Sm 0.500 0.500 0.666
Sc 0.000 0.000 0.500
Hg 0.500 0.500 0.000

Stability check: which of them is least stable? arrangement one.

Arrangement one

The following is a DFT calculation (PBE) of a relaxed structure of SmScHg4.

Values from the calculation:
- Space group: Pm
- Volume: 145.0 Å³/f.u.
- Total moment: 0.00 μB/f.u.

a = 3.873 Å, b = 5.153 Å, c = 7.520 Å
α = 90.00°, β = 104.87°, γ = 90.00°
Sites, in units of the cell vectors:
Sm 0.000 0.000 0.000
Sc 0.793 0.500 0.582
Hg 0.134 0.500 0.263
Hg 0.328 0.000 0.655
Hg 0.454 0.500 0.906
Hg 0.670 0.000 0.340

Arrangement two

The following is a DFT calculation (PBE) of a relaxed structure of SmScHg4.

Values from the calculation:
- Space group: C2/m
- Volume: 144.4 Å³/f.u.
- Total moment: 0.44 μB/f.u.

a = 6.208 Å, b = 6.208 Å, c = 7.221 Å
α = 106.81°, β = 106.81°, γ = 32.98°
Sites, in units of the cell vectors:
Sm 0.000 0.000 0.000
Sc 0.000 0.000 0.500
Hg 0.330 0.330 0.181
Hg 0.338 0.338 0.652
Hg 0.662 0.662 0.348
Hg 0.670 0.670 0.819

Stability check: which of them is least stable? arrangement two.

Arrangement one

The following is a DFT calculation (PBE) of a relaxed structure of SmSc2Hg.

Values from the calculation:
- Space group: Fm-3m
- Volume: 97.2 Å³/f.u.
- Total moment: 2.68 μB/f.u.

a = 5.161 Å, b = 5.161 Å, c = 5.161 Å
α = 60.00°, β = 60.00°, γ = 60.00°
Sites, in units of the cell vectors:
Sm 0.000 0.000 0.000
Sc 0.250 0.250 0.250
Sc 0.750 0.750 0.750
Hg 0.500 0.500 0.500

Arrangement two

The following is a DFT calculation (PBE) of a relaxed structure of SmSc2Hg.

Values from the calculation:
- Space group: R3m
- Volume: 105.2 Å³/f.u.
- Total moment: 0.00 μB/f.u.

a = 10.300 Å, b = 10.300 Å, c = 10.300 Å
α = 19.38°, β = 19.38°, γ = 19.38°
Sites, in units of the cell vectors:
Sm 0.000 0.000 0.000
Sc 0.574 0.574 0.574
Sc 0.758 0.758 0.758
Hg 0.166 0.166 0.166

Stability check: which of them is least stable? arrangement one.

Arrangement one

The following is a DFT calculation (PBE) of a relaxed structure of SmSc2Hg.

Values from the calculation:
- Space group: P4/mmm
- Volume: 101.5 Å³/f.u.
- Total moment: 0.00 μB/f.u.

a = 3.441 Å, b = 3.441 Å, c = 8.570 Å
α = 90.00°, β = 90.00°, γ = 90.00°
Sites, in units of the cell vectors:
Sm 0.000 0.000 0.000
Sc 0.500 0.500 0.285
Sc 0.500 0.500 0.715
Hg 0.000 0.000 0.500

Arrangement two

The following is a DFT calculation (PBE) of a relaxed structure of SmSc2Hg.

Values from the calculation:
- Space group: P4/mmm
- Volume: 99.3 Å³/f.u.
- Total moment: 0.86 μB/f.u.

a = 4.632 Å, b = 4.632 Å, c = 4.627 Å
α = 90.00°, β = 90.00°, γ = 90.00°
Sites, in units of the cell vectors:
Sm 0.000 0.000 0.000
Sc 0.000 0.500 0.500
Sc 0.500 0.000 0.500
Hg 0.500 0.500 0.000

Stability check: which of them is least stable? arrangement two.

Arrangement one

The following is a DFT calculation (PBE) of a relaxed structure of SmScHg2.

Values from the calculation:
- Space group: P4/mmm
- Volume: 97.7 Å³/f.u.
- Total moment: 0.43 μB/f.u.

a = 3.604 Å, b = 3.604 Å, c = 7.519 Å
α = 90.00°, β = 90.00°, γ = 90.00°
Sites, in units of the cell vectors:
Sm 0.000 0.000 0.000
Sc 0.000 0.000 0.500
Hg 0.500 0.500 0.279
Hg 0.500 0.500 0.721

Arrangement two

The following is a DFT calculation (PBE) of a relaxed structure of SmScHg2.

Values from the calculation:
- Space group: Fm-3m
- Volume: 98.8 Å³/f.u.
- Total moment: 0.66 μB/f.u.

a = 5.190 Å, b = 5.190 Å, c = 5.190 Å
α = 60.00°, β = 60.00°, γ = 60.00°
Sites, in units of the cell vectors:
Sm 0.000 0.000 0.000
Sc 0.500 0.500 0.500
Hg 0.250 0.250 0.250
Hg 0.750 0.750 0.750

Stability check: which of them is least stable? arrangement two.

Arrangement one

The following is a DFT calculation (PBE) of a relaxed structure of Sc2Sn2Hg.

Values from the calculation:
- Space group: P4/mbm
- Volume: 122.9 Å³/f.u.
- Total moment: 0.00 μB/f.u.

a = 8.405 Å, b = 8.405 Å, c = 3.481 Å
α = 90.00°, β = 90.00°, γ = 90.00°
Sites, in units of the cell vectors:
Sc 0.136 0.364 0.000
Sc 0.364 0.864 0.000
Sc 0.636 0.136 0.000
Sc 0.864 0.636 0.000
Sn 0.167 0.667 0.500
Sn 0.333 0.167 0.500
Sn 0.667 0.833 0.500
Sn 0.833 0.333 0.500
Hg 0.000 0.000 0.000
Hg 0.500 0.500 0.000

Arrangement two

The following is a DFT calculation (PBE) of a relaxed structure of Sc2Sn2Hg.

Values from the calculation:
- Space group: I4/mmm
- Volume: 143.7 Å³/f.u.
- Total moment: 0.00 μB/f.u.

a = 6.133 Å, b = 6.133 Å, c = 6.133 Å
α = 126.64°, β = 126.64°, γ = 78.84°
Sites, in units of the cell vectors:
Sc 0.250 0.750 0.500
Sc 0.750 0.250 0.500
Sn 0.156 0.156 0.000
Sn 0.844 0.844 0.000
Hg 0.500 0.500 0.000

Arrangement three

The following is a DFT calculation (PBE) of a relaxed structure of Sc2Sn2Hg.

Values from the calculation:
- Space group: P4/mbm
- Volume: 118.6 Å³/f.u.
- Total moment: 0.00 μB/f.u.

a = 7.534 Å, b = 7.534 Å, c = 4.177 Å
α = 90.00°, β = 90.00°, γ = 90.00°
Sites, in units of the cell vectors:
Sc 0.172 0.328 0.000
Sc 0.328 0.828 0.000
Sc 0.672 0.172 0.000
Sc 0.828 0.672 0.000
Sn 0.133 0.633 0.500
Sn 0.367 0.133 0.500
Sn 0.633 0.867 0.500
Sn 0.867 0.367 0.500
Hg 0.000 0.000 0.500
Hg 0.500 0.500 0.500

Stability check: which of them is least stable? arrangement two.